[1]
The following is a DFT calculation (PBE-GGA) of AcTbGe2Au2 after structural relaxation.

Cell and atoms, written as extended XYZ:
```
6
Lattice="-4.381 0.400 1.029 2.972 -1.175 3.194 1.135 7.789 1.809" Properties=species:S:1:pos:R:3 pbc="T T T"
Ge 1.361 5.111 3.810
Ac 0.000 0.000 0.000
Ge -1.635 1.903 2.221
Au 0.849 1.597 2.994
Au -1.122 5.417 3.038
Tb 0.568 3.895 0.905
```

Output
Its formation energy is -4.98 eV/f.u.



[2]
The following is a DFT calculation (PBE-GGA) of K2CaCd2 after structural relaxation.

Cell and atoms, written as extended XYZ:
```
5
Lattice="4.908 0.000 0.000 0.000 4.908 0.000 2.454 2.454 8.086" Properties=species:S:1:pos:R:3 pbc="T T T"
K 2.454 4.908 4.043
Cd 2.454 2.454 1.407
Cd 4.908 4.908 6.679
Ca 0.000 0.000 0.000
K 4.908 2.454 4.043
```

Output
Its formation energy is 0.32 eV/f.u. As for the distance to the lowest polymorph of the same formula: 97.6 meV/atom.



[3]
The following is a DFT calculation (PBE-GGA) of ZrZnTe after structural relaxation.

Cell and atoms, written as extended XYZ:
```
3
Lattice="-1.436 4.437 0.091 -3.086 -3.438 -0.644 -0.477 -0.226 3.488" Properties=species:S:1:pos:R:3 pbc="T T T"
Zr -2.827 -0.950 1.727
Te -0.035 -0.017 0.257
Zn -2.137 1.741 0.951
```

Output
As for the uncorrected formation energy: -0.001 eV per atom. As for the distance to the lowest polymorph of the same formula: 440.8 meV/atom.



[4]
The following is a DFT calculation (PBE-GGA) of Ta4Mn3Ru after structural relaxation.

Cell and atoms, written as extended XYZ:
```
8
Lattice="-0.735 1.992 2.251 -3.490 1.321 -2.308 -4.858 -6.130 3.837" Properties=species:S:1:pos:R:3 pbc="T T T"
Mn -4.011 -3.601 4.003
Mn -1.582 -0.537 2.085
Ta -3.007 -0.931 -0.158
Ru -2.113 1.656 -0.028
Ta -2.429 -3.065 1.919
Ta 0.000 0.000 0.000
Mn -4.542 -1.408 1.890
Ta -5.342 -3.877 1.687
```

Output
Its formation energy is -2.18 eV/f.u.



[5]
The following is a DFT calculation (PBE-GGA) of Ce7Si5Bi after structural relaxation.

Cell and atoms, written as extended XYZ:
```
13
Lattice="-5.016 0.902 3.152 -6.512 -1.740 -4.168 -2.016 -6.342 4.304" Properties=species:S:1:pos:R:3 pbc="T T T"
Si -10.101 -5.240 2.514
Ce -10.208 -2.485 1.556
Si -5.523 -0.558 -0.593
Bi -5.088 0.717 3.090
Ce -5.159 -4.835 4.566
Si -3.355 -2.777 3.493
Si -3.462 -0.929 -1.888
Si -1.294 -3.148 2.197
Ce -7.517 -5.498 1.003
Ce -3.155 -1.204 1.020
Ce -8.158 -1.766 -1.084
Ce -8.517 -4.215 4.742
Ce -6.211 -2.155 2.126
```

Output
As for the uncorrected formation energy: -0.450 eV per atom.



[6]
The following is a DFT calculation (PBE-GGA) of Li2ErHg5 after structural relaxation.

Cell and atoms, written as extended XYZ:
```
16
Lattice="7.550 0.000 0.000 0.000 7.550 0.000 -3.775 -3.775 6.212" Properties=species:S:1:pos:R:3 pbc="T T T"
Hg 2.653 -1.123 4.369
Li 1.159 2.616 0.000
Hg 6.428 2.653 1.844
Hg -2.653 1.123 4.369
Hg -1.123 -2.653 4.369
Hg 1.123 4.898 1.844
Hg 1.123 2.653 4.369
Hg 2.653 1.123 1.844
Li 4.934 1.159 0.000
Hg 0.000 0.000 0.000
Hg 4.898 6.428 1.844
Hg 3.775 3.775 0.000
Er 0.000 0.000 3.106
Li 2.616 6.391 0.000
Li 6.391 4.934 0.000
Er 3.775 3.775 3.106
```

Output
Its formation energy is -2.37 eV/f.u.



[7]
The following is a DFT calculation (PBE-GGA) of La2Pm3Sc after structural relaxation.

Cell and atoms, written as extended XYZ:
```
12
Lattice="-2.487 -3.781 -5.056 2.131 -5.275 7.450 -6.451 1.694 1.906" Properties=species:S:1:pos:R:3 pbc="T T T"
La -4.881 -3.106 0.772
Pm -6.805 -5.231 3.098
Pm -3.013 -0.958 2.591
Pm -3.794 -6.403 1.709
Pm -0.002 -2.131 1.202
La -4.823 -2.909 5.149
La -1.926 -4.256 3.528
Pm -2.322 -0.654 -0.965
Pm -6.616 -1.432 -2.185
Sc -3.519 -2.475 -3.399
Sc -5.419 0.388 0.249
La -1.984 -4.453 -0.850
```

Output
Its formation energy is 0.73 eV/f.u. As for the distance to the lowest polymorph of the same formula: 24.8 meV/atom.



[8]
The following is a DFT calculation (PBE-GGA) of BaLa2Mo after structural relaxation.

Cell and atoms, written as extended XYZ:
```
4
Lattice="-2.493 -0.771 -5.642 -6.075 -1.310 0.150 3.561 4.377 2.609" Properties=species:S:1:pos:R:3 pbc="T T T"
Ba -1.608 1.282 -2.890
La -3.399 1.013 0.007
Mo -4.284 -1.041 -2.746
La 0.000 0.000 0.000
```

Output
Its formation energy is 2.98 eV/f.u. As for the distance to the lowest polymorph of the same formula: 390.2 meV/atom.



[9]
The following is a DFT calculation (PBE-GGA) of LiCu4P3O12 after structural relaxation.

Cell and atoms, written as extended XYZ:
```
40
Lattice="8.894 0.569 0.030 0.986 8.858 -0.030 -1.938 2.031 5.512" Properties=species:S:1:pos:R:3 pbc="T T T"
Cu 3.883 8.850 0.645
Cu 2.115 3.004 1.386
O 3.137 4.254 4.040
O 7.593 5.230 3.796
P 5.422 2.252 2.022
P 2.501 9.240 3.504
O 0.314 6.218 1.725
O 2.686 10.421 4.481
O 6.901 7.727 2.660
O 8.920 3.710 0.595
O 4.785 7.260 1.489
O 3.308 7.991 3.987
O 3.140 9.770 2.169
O 1.027 3.750 2.863
O 4.589 3.486 1.540
P 6.407 5.132 4.778
O 5.214 6.022 4.296
O 4.786 1.706 3.351
O 6.915 2.565 2.275
O 6.452 5.478 1.284
P 1.501 6.347 0.748
O 2.712 5.482 1.231
Cu 4.913 4.734 0.015
O 6.024 3.655 5.031
O 7.055 7.562 0.107
Li -0.383 0.518 1.352
O 1.856 7.832 0.500
Cu 3.952 5.757 2.771
P 1.588 4.448 4.138
O 0.869 3.912 5.416
O 5.268 1.073 1.040
Cu 4.094 2.652 4.882
Cu -0.111 6.979 3.401
O 1.002 8.956 3.256
Cu 8.008 4.446 2.125
O -0.995 7.764 4.925
P 6.331 7.034 1.382
Cu 5.812 8.470 4.142
O 1.435 6.004 4.245
Li 8.413 10.849 4.108
```

Output
As for the uncorrected formation energy: -1.503 eV per atom. As for the distance to the lowest polymorph of the same formula: 40.6 meV/atom.



[10]
The following is a DFT calculation (PBE-GGA) of YMgCl4 after structural relaxation.

Cell and atoms, written as extended XYZ:
```
6
Lattice="3.576 0.000 0.000 0.000 7.139 0.360 0.000 -2.324 6.574" Properties=species:S:1:pos:R:3 pbc="T T T"
Y 1.788 3.570 0.180
Mg 0.000 2.408 3.467
Cl 0.000 4.527 2.077
Cl 1.788 3.343 4.979
Cl 0.000 0.289 4.857
Cl 1.788 1.472 1.955
```

Output
As for the uncorrected formation energy: -1.857 eV per atom. As for the distance to the lowest polymorph of the same formula: 0.0 meV/atom.



[11]
The following is a DFT calculation (PBE-GGA) of MnHgI3 after structural relaxation.

Cell and atoms, written as extended XYZ:
```
10
Lattice="8.521 0.000 0.000 0.000 8.521 0.000 4.261 4.261 6.612" Properties=species:S:1:pos:R:3 pbc="T T T"
Mn 4.261 8.521 3.306
Mn 0.000 0.000 0.000
I 4.261 4.261 1.355
I 4.261 6.295 4.831
Hg 8.521 4.261 4.982
I 2.034 8.521 1.781
I 4.261 10.748 4.831
I 8.521 8.521 5.257
Hg 8.521 4.261 1.630
I 6.487 8.521 1.781
```

Output
As for the uncorrected formation energy: -0.107 eV per atom. As for the distance to the lowest polymorph of the same formula: 239.5 meV/atom.



[12]
The following is a DFT calculation (PBE-GGA) of SrLa2As after structural relaxation.

Cell and atoms, written as extended XYZ:
```
4
Lattice="7.069 -0.015 -0.009 3.686 6.032 0.009 -4.790 -4.059 3.249" Properties=species:S:1:pos:R:3 pbc="T T T"
As 2.137 2.491 1.629
La 0.647 0.362 0.000
La 4.731 2.647 0.000
Sr 3.828 -0.533 1.620
```

Output
Its formation energy is -2.13 eV/f.u.



[13]
The following is a DFT calculation (PBE-GGA) of AlInNiPd after structural relaxation.

Cell and atoms, written as extended XYZ:
```
4
Lattice="-0.250 2.303 3.767 3.045 -0.582 3.154 2.948 3.187 0.843" Properties=species:S:1:pos:R:3 pbc="T T T"
In 2.871 2.454 3.882
Ni 4.307 3.681 5.823
Pd 1.436 1.227 1.941
Al 0.000 0.000 0.000
```

Output
Its formation energy is -1.69 eV/f.u.



[14]
The following is a DFT calculation (PBE-GGA) of LiHo2Au6 after structural relaxation.

Cell and atoms, written as extended XYZ:
```
18
Lattice="-4.353 2.645 1.136 -4.606 -6.523 2.961 0.947 0.255 8.460" Properties=species:S:1:pos:R:3 pbc="T T T"
Au -2.997 0.558 9.788
Au -2.940 2.331 7.546
Li -0.807 0.103 8.084
Au -2.049 -1.851 1.951
Ho -3.596 -2.186 8.737
Au -5.963 -1.771 10.606
Ho -4.416 -1.437 3.820
Ho -7.148 -2.543 7.943
Au -5.157 -4.766 8.682
Au -5.499 0.091 8.301
Au -2.855 1.143 3.875
Ho -0.864 -1.080 4.614
Au -2.513 -3.714 4.256
Au -5.072 -5.953 5.011
Au -5.015 -4.180 2.768
Au -4.954 -3.223 6.117
Li -7.205 -3.726 4.473
Au -3.058 -0.400 6.440
```

Output
Its formation energy is -5.67 eV/f.u. As for the distance to the lowest polymorph of the same formula: 0.0 meV/atom.



[15]
The following is a DFT calculation (PBE-GGA) of CePm3Bi2 after structural relaxation.

Cell and atoms, written as extended XYZ:
```
6
Lattice="4.580 0.000 0.000 0.000 4.580 0.000 0.000 0.000 9.045" Properties=species:S:1:pos:R:3 pbc="T T T"
Pm 0.000 0.000 0.000
Bi 2.290 0.000 6.507
Pm 0.000 2.290 5.815
Ce 2.290 2.290 0.000
Pm 2.290 0.000 3.229
Bi 0.000 2.290 2.537
```

Output
Its formation energy is -3.68 eV/f.u. As for the distance to the lowest polymorph of the same formula: 0.0 meV/atom.



[16]
The following is a DFT calculation (PBE-GGA) of ErSiRh2 after structural relaxation.

Cell and atoms, written as extended XYZ:
```
8
Lattice="-3.469 2.136 0.749 0.123 -4.075 0.734 2.890 1.651 8.676" Properties=species:S:1:pos:R:3 pbc="T T T"
Er -0.104 1.304 7.252
Si 0.000 0.000 0.000
Rh 0.593 -1.052 5.743
Si 1.445 0.825 4.338
Rh -1.048 0.764 4.417
Er -0.352 -1.592 2.908
Rh -2.050 0.192 1.410
Rh 1.594 -0.480 8.750
```

Output
As for the uncorrected formation energy: -0.918 eV per atom.



[17]
The following is a DFT calculation (PBE-GGA) of K2HfBr4 after structural relaxation.

Cell and atoms, written as extended XYZ:
```
7
Lattice="5.347 0.000 0.000 0.000 5.347 0.000 2.674 2.674 8.379" Properties=species:S:1:pos:R:3 pbc="T T T"
K 5.347 5.347 6.049
Br 0.000 2.674 0.000
K 2.674 2.674 2.330
Hf 0.000 0.000 0.000
Br 2.674 2.674 5.616
Br 2.674 0.000 0.000
Br 5.347 5.347 2.763
```

Output
As for the uncorrected formation energy: -1.205 eV per atom.



[18]
The following is a DFT calculation (PBE-GGA) of TmPu2Ni9 after structural relaxation.

Cell and atoms, written as extended XYZ:
```
12
Lattice="4.917 0.000 0.000 2.458 4.258 0.000 2.458 1.419 8.137" Properties=species:S:1:pos:R:3 pbc="T T T"
Pu 2.458 1.419 4.668
Ni 6.147 3.549 6.148
Ni 2.458 1.419 0.010
Ni 6.147 2.128 1.989
Pu 7.375 4.258 3.468
Ni 7.375 4.258 8.127
Ni 4.917 1.418 6.148
Ni 3.686 3.549 6.148
Tm 0.000 0.000 0.000
Ni 3.686 2.128 1.989
Ni 4.917 4.260 1.989
Ni 4.917 2.839 4.068
```

Output
Its formation energy is -3.74 eV/f.u.



[19]
The following is a DFT calculation (PBE-GGA) of LuZrRu4 after structural relaxation.

Cell and atoms, written as extended XYZ:
```
6
Lattice="-3.182 -1.776 -3.773 -0.835 -5.153 -0.517 -4.669 -2.039 1.251" Properties=species:S:1:pos:R:3 pbc="T T T"
Ru -5.012 -3.027 -1.641
Ru -3.094 -4.585 -2.526
Zr 0.000 0.000 0.000
Lu -2.172 -2.242 -0.760
Ru -5.430 -5.606 -1.900
Ru -3.837 -4.717 -0.012
```

Output
Its formation energy is -2.12 eV/f.u.



[20]
The following is a DFT calculation (PBE-GGA) of NpB2H8 after structural relaxation.

Cell and atoms, written as extended XYZ:
```
11
Lattice="3.900 0.474 0.957 1.116 5.049 1.284 0.770 -0.160 5.270" Properties=species:S:1:pos:R:3 pbc="T T T"
H 3.057 0.249 4.345
B 4.294 4.048 5.663
H 1.529 3.269 4.404
H 3.446 3.555 4.945
H 2.729 5.114 3.165
H 3.297 3.864 1.580
H 4.257 2.094 3.106
B 1.492 1.315 1.847
Np 0.000 0.000 0.000
H 2.489 1.499 5.931
H 2.340 1.808 2.566
```

Output
The calculation puts the total energy at -4.87 eV per atom.